{
  "formula": "TbZn2Ge",
  "functional": "PBE-GGA",
  "state": "relaxed",
  "delta_e_f_ev_per_atom": -0.4158,
  "e_above_lowest_polymorph_mev_per_atom": 0,
  "lattice": [[4.149, 0.000, 0.000], [0.000, 4.149, 0.000], [0.000, 0.000, 4.443]],
  "species": ["Tb", "Zn", "Zn", "Ge"],
  "frac_coords": [[0.000, 0.000, 0.000], [0.000, 0.500, 0.500], [0.500, 0.000, 0.500], [0.500, 0.500, 0.000]]
}


{
  "formula": "V2Ir2Pt3",
  "functional": "PBE-GGA",
  "state": "relaxed",
  "delta_e_f_ev_per_atom": -0.2957,
  "lattice": [[2.723, 0.000, 0.000], [0.000, 2.753, 0.000], [-1.355, 0.000, 14.266]],
  "species": ["V", "V", "Ir", "Ir", "Pt", "Pt", "Pt"],
  "frac_coords": [[0.143, 0.000, 0.284], [0.857, 0.000, 0.716], [0.419, 0.500, 0.836], [0.581, 0.500, 0.164], [0.000, 0.500, 0.000], [0.292, 0.500, 0.585], [0.708, 0.500, 0.415]]
}


{
  "formula": "NaCuN2",
  "functional": "PBE-GGA",
  "state": "relaxed",
  "e_above_lowest_polymorph_mev_per_atom": 444,
  "lattice": [[2.771, 0.000, 0.000], [-1.385, 2.399, 0.000], [0.000, 0.000, 21.518]],
  "species": ["Na", "Na", "Na", "Cu", "Cu", "Cu", "N", "N", "N", "N", "N", "N"],
  "frac_coords": [[0.000, 0.000, 0.000], [0.333, 0.667, 0.667], [0.667, 0.333, 0.333], [0.000, 0.000, 0.500], [0.333, 0.667, 0.167], [0.667, 0.333, 0.833], [0.000, 0.000, 0.417], [0.000, 0.000, 0.583], [0.333, 0.667, 0.083], [0.333, 0.667, 0.250], [0.667, 0.333, 0.750], [0.667, 0.333, 0.917]]
}


{
  "formula": "Tb6PrNd2",
  "functional": "PBE-GGA",
  "state": "relaxed",
  "delta_e_f_ev_per_atom": 0.1012,
  "e_above_lowest_polymorph_mev_per_atom": 0,
  "lattice": [[-1.758, 5.205, 8.225], [1.758, -5.205, 8.225], [1.758, 5.205, -8.225]],
  "species": ["Tb", "Tb", "Tb", "Tb", "Tb", "Tb", "Pr", "Nd", "Nd"],
  "frac_coords": [[0.011, 0.178, 0.833], [0.315, 0.500, 0.815], [0.345, 0.178, 0.167], [0.655, 0.822, 0.833], [0.685, 0.500, 0.185], [0.989, 0.822, 0.167], [0.000, 0.000, 0.000], [0.342, 0.842, 0.500], [0.658, 0.158, 0.500]]
}


{
  "formula": "RbRuRh",
  "functional": "PBE-GGA",
  "state": "relaxed",
  "delta_e_f_ev_per_atom": 0.5246,
  "e_above_lowest_polymorph_mev_per_atom": 36,
  "lattice": [[4.369, 0.000, 0.000], [0.000, 4.168, 0.000], [-0.637, 0.000, 9.670]],
  "species": ["Rb", "Rb", "Ru", "Ru", "Rh", "Rh"],
  "frac_coords": [[0.225, 0.250, 0.319], [0.775, 0.750, 0.681], [0.171, 0.750, 0.006], [0.829, 0.250, 0.994], [0.336, 0.250, 0.876], [0.664, 0.750, 0.124]]
}


{
  "formula": "HoTaIr2",
  "functional": "PBE-GGA",
  "state": "relaxed",
  "delta_e_f_ev_per_atom": -0.6477,
  "e_above_lowest_polymorph_mev_per_atom": 0,
  "lattice": [[3.102, 0.000, 0.000], [0.000, 3.102, 0.000], [0.000, 0.000, 7.564]],
  "species": ["Ho", "Ta", "Ir", "Ir"],
  "frac_coords": [[0.000, 0.000, 0.000], [0.000, 0.000, 0.500], [0.500, 0.500, 0.287], [0.500, 0.500, 0.713]]
}


{
  "formula": "RbCd2Ge",
  "functional": "PBE-GGA",
  "state": "relaxed",
  "delta_e_f_ev_per_atom": 0.0699,
  "lattice": [[5.899, 0.000, 0.000], [0.000, 5.899, 0.000], [0.000, 0.000, 17.974]],
  "species": ["Rb", "Rb", "Rb", "Rb", "Cd", "Cd", "Cd", "Cd", "Cd", "Cd", "Cd", "Cd", "Ge", "Ge", "Ge", "Ge"],
  "frac_coords": [[0.000, 0.000, 0.000], [0.000, 0.500, 0.250], [0.500, 0.000, 0.750], [0.500, 0.500, 0.500], [0.001, 0.750, 0.625], [0.250, 0.001, 0.375], [0.250, 0.499, 0.875], [0.499, 0.750, 0.125], [0.501, 0.250, 0.125], [0.750, 0.501, 0.875], [0.750, 0.999, 0.375], [0.999, 0.250, 0.625], [0.000, 0.000, 0.500], [0.000, 0.500, 0.750], [0.500, 0.000, 0.250], [0.500, 0.500, 0.000]]
}


{
  "formula": "Pr2Ho3Cd3",
  "functional": "PBE-GGA",
  "state": "relaxed",
  "delta_e_f_ev_per_atom": -0.2183,
  "e_above_lowest_polymorph_mev_per_atom": 0,
  "lattice": [[3.798, 0.000, 0.000], [0.000, 5.333, 0.000], [0.000, 0.000, 22.569]],
  "species": ["Pr", "Pr", "Pr", "Pr", "Ho", "Ho", "Ho", "Ho", "Ho", "Ho", "Cd", "Cd", "Cd", "Cd", "Cd", "Cd"],
  "frac_coords": [[0.000, 0.000, 0.231], [0.000, 0.000, 0.769], [0.500, 0.500, 0.269], [0.500, 0.500, 0.731], [0.000, 0.000, 0.000], [0.000, 0.500, 0.119], [0.000, 0.500, 0.881], [0.500, 0.000, 0.381], [0.500, 0.000, 0.619], [0.500, 0.500, 0.500], [0.000, 0.000, 0.500], [0.000, 0.500, 0.388], [0.000, 0.500, 0.612], [0.500, 0.000, 0.112], [0.500, 0.000, 0.888], [0.500, 0.500, 0.000]]
}


Repeat the seventh record exactly.
{
  "formula": "RbCd2Ge",
  "functional": "PBE-GGA",
  "state": "relaxed",
  "delta_e_f_ev_per_atom": 0.0699,
  "lattice": [[5.899, 0.000, 0.000], [0.000, 5.899, 0.000], [0.000, 0.000, 17.974]],
  "species": ["Rb", "Rb", "Rb", "Rb", "Cd", "Cd", "Cd", "Cd", "Cd", "Cd", "Cd", "Cd", "Ge", "Ge", "Ge", "Ge"],
  "frac_coords": [[0.000, 0.000, 0.000], [0.000, 0.500, 0.250], [0.500, 0.000, 0.750], [0.500, 0.500, 0.500], [0.001, 0.750, 0.625], [0.250, 0.001, 0.375], [0.250, 0.499, 0.875], [0.499, 0.750, 0.125], [0.501, 0.250, 0.125], [0.750, 0.501, 0.875], [0.750, 0.999, 0.375], [0.999, 0.250, 0.625], [0.000, 0.000, 0.500], [0.000, 0.500, 0.750], [0.500, 0.000, 0.250], [0.500, 0.500, 0.000]]
}